# 1
This record from Alexandria describes a relaxed K2RbTl2 crystal. The functional is PBE.

Cell lengths 9.794, 9.794, 4.990 Å; angles 90.00, 90.00, 90.00 degrees
Space group P4/mbm (No. 127)
Unique sites:
K  0.174  0.326  0.000
Rb  0.000  0.000  0.500
Tl  0.113  0.613  0.500

Calculated values
The density comes out at 3.972 g/cm3. The formation enthalpy at 0 K comes out at -0.0171 eV/atom. The value obtained for the total energy is -1.596 eV/atom.


# 2
This record from Alexandria describes a relaxed Er2S2Br crystal. The functional is PBE.

Cell lengths 12.386, 5.383, 8.062 Å; angles 90.00, 107.95, 90.00 degrees
Space group C2/m (No. 12)
Unique sites:
Er  0.004  0.000  0.237
Er  0.161  0.500  0.069
S  0.003  0.500  0.239
S  0.165  0.000  0.076
Br  0.165  0.000  0.586

Calculated values
The uncorrected formation energy comes out at -1942 meV per atom. The density comes out at 6.217 g/cm3. The value obtained for the total energy is -5.753 eV/atom.


# 3
This record from Alexandria describes a relaxed SmPuBiN crystal. The functional is PBE.

Cell lengths 4.682, 4.682, 9.035 Å; angles 90.00, 90.00, 90.00 degrees
Space group P4/nmm (No. 129, origin choice 2)
Unique sites:
Sm  0.250  0.750  0.000
Pu  0.250  0.250  0.324
Bi  0.250  0.250  0.691
N  0.250  0.250  0.088

Calculated values
The uncorrected formation energy comes out at -984 meV per atom. The density comes out at 10.354 g/cm3. The value obtained for the total energy is -8.798 eV/atom.


# 4
This record from Alexandria describes a relaxed AsRh2W crystal. The functional is PBE.

Cell lengths 2.907, 4.518, 9.122 Å; angles 90.00, 90.00, 90.00 degrees
Space group Imm2 (No. 44)
Unique sites:
As  0.000  0.000  0.000
Rh  0.000  0.000  0.505
Rh  0.000  0.500  0.712
W  0.000  0.500  0.268

Calculated values
The density comes out at 12.879 g/cm3. The formation enthalpy at 0 K comes out at -0.0675 eV/atom. The value obtained for the total energy is -8.144 eV/atom.


# 5
This record from Alexandria describes a relaxed Ac2GeF crystal. The functional is PBE.

Cell lengths 7.501, 7.501, 7.501 Å; angles 90.00, 90.00, 90.00 degrees
Space group Fm-3m (No. 225)
Unique sites:
Ac  0.250  0.250  0.250
Ge  0.000  0.000  0.000
F  0.000  0.000  0.500

Calculated values
The uncorrected formation energy comes out at -1422 meV per atom. The density comes out at 8.587 g/cm3. The value obtained for the total energy is -5.098 eV/atom.


# 6
This record from Alexandria describes a relaxed Ho5CdTe4 crystal. The functional is PBE.

Cell lengths 9.707, 9.707, 6.138 Å; angles 90.00, 90.00, 90.00 degrees
Space group I4/m (No. 87)
Unique sites:
Ho  0.000  0.000  0.000
Ho  0.099  0.290  0.500
Cd  0.000  0.000  0.500
Te  0.095  0.304  0.000

Calculated values
The uncorrected formation energy comes out at -1062 meV per atom. The density comes out at 8.312 g/cm3. The value obtained for the total energy is -4.699 eV/atom.